The following is a DFT calculation (PBE+U) of an optimized crystal structure of LiCoP4O12.

POSCAR file:
```
LiCoP4O12
1.0
5.7078 0.3575 0.5795
-2.2227 6.3940 -0.0270
-0.5008 -2.6472 6.9473
P Co O Li
4 1 12 1
direct
0.1118 0.5592 0.7683
0.2849 0.7723 0.1705
0.6926 0.2221 0.8252
0.8719 0.4244 0.2230
0.9776 0.9879 0.9926
0.0270 0.2634 0.1627
0.9556 0.7195 0.8130
0.2163 0.9699 0.1463
0.0604 0.6598 0.2701
0.5228 0.8283 0.2742
0.7127 0.4000 0.0340
0.2674 0.5964 0.9624
0.2663 0.5476 0.6092
0.7190 0.4156 0.3803
0.9306 0.3210 0.7328
0.7283 0.0136 0.8492
0.4692 0.2000 0.7142
0.4525 0.3432 0.5186
```

Properties
- mass density (g cm⁻³) = 2.4
- VASP energy (eV/atom) = -6.8264